## KBeBr2 (PBE)

Data for a relaxed KBeBr2 crystal.

abc: 10.6278 10.6278 10.6278
angles: 20.11 20.11 20.11
Last column: nearest neighbours and their distance in Å.
Sites, in units of the cell vectors:
1 Br 0.8762 0.8762 0.8762  3 Be 2.53
2 Be 0.5000 0.5000 0.5000  6 Br 2.53
3 Br 0.1238 0.1238 0.1238  3 Be 2.53
4 K 0.0000 0.0000 0.0000  6 K 3.71, 2 Br 3.87

Summary:
DFT total energy in eV per atom: -2.4310
E above lowest polymorph in meV per atom: 294
Formation energy (no corrections) in eV per atom: -0.389
V in Å³/atom: 31.03

## KBeBr2 (PBE)

Data for a relaxed KBeBr2 crystal.

abc: 3.7416 3.7416 7.5731
angles: 90.00 90.00 90.00
Last column: nearest neighbours and their distance in Å.
Sites, in units of the cell vectors:
1 Br 0.0000 0.0000 0.5259  4 Be 3.14, 4 K 3.37, 1 Br 3.39
2 Be 0.5000 0.5000 0.7500  8 Br 3.14
3 Br 0.0000 0.0000 0.9741  4 Be 3.14, 4 K 3.37, 1 Br 3.39
4 K 0.5000 0.5000 0.2500  8 Br 3.37, 4 K 3.74

Summary:
DFT total energy in eV per atom: -2.3083
E above lowest polymorph in meV per atom: 416
Formation energy (no corrections) in eV per atom: -0.266
V in Å³/atom: 26.51

## KBe2Br (PBE)

Data for a relaxed KBe2Br crystal.

abc: 8.4128 8.4128 6.5817
angles: 50.27 50.27 90.00
Last column: nearest neighbours and their distance in Å.
Sites, in units of the cell vectors:
1 Be 0.3750 0.3380 0.7500  2 Br 2.85, 2 Be 2.88
2 K 0.2500 0.7500 0.5000  2 Br 2.82
3 Be 0.0880 0.6250 0.2500  2 Br 2.85, 2 Be 2.88
4 Be 0.6620 0.1250 0.2500  2 Br 2.85, 2 Be 2.88
5 Br 0.0000 0.0000 0.0000  2 K 2.82, 4 Be 2.85
6 Br 0.7500 0.2500 0.5000  2 K 2.82, 4 Be 2.85
7 Be 0.8750 0.9120 0.7500  2 Br 2.85, 2 Be 2.88
8 K 0.5000 0.5000 0.0000  2 Br 2.82

Summary:
DFT total energy in eV per atom: -1.8867
E above lowest polymorph in meV per atom: 482
Formation energy (no corrections) in eV per atom: 0.669
V in Å³/atom: 24.92

## K3BeBr (PBE)

Data for a relaxed K3BeBr crystal.

abc: 6.2778 6.2778 6.2778
angles: 90.00 90.00 90.00
Last column: nearest neighbours and their distance in Å.
Sites, in units of the cell vectors:
1 K 0.5000 0.0000 0.0000  2 Br 3.14
2 Be 0.5000 0.5000 0.5000  12 K 4.44
3 Br 0.0000 0.0000 0.0000  6 K 3.14
4 K 0.0000 0.5000 0.0000  2 Br 3.14
5 K 0.0000 0.0000 0.5000  2 Br 3.14

Summary:
DFT total energy in eV per atom: -1.7880
E above lowest polymorph in meV per atom: 0
Formation energy (no corrections) in eV per atom: -0.050
V in Å³/atom: 49.48

## KBeBr2 (PBE)

Data for a relaxed KBeBr2 crystal.

abc: 3.7222 3.9870 7.3193
angles: 89.96 90.00 90.00
Last column: nearest neighbours and their distance in Å.
Sites, in units of the cell vectors:
1 K 0.5000 0.2500 0.2500  8 Br 3.37, 2 K 3.72
2 Be 0.5000 0.7500 0.7500  4 Br 2.51
3 Br 0.0000 0.7495 0.5200  2 Be 2.51
4 Br 0.0000 0.7505 0.9800  2 Be 2.51

Summary:
DFT total energy in eV per atom: -2.5439
E above lowest polymorph in meV per atom: 181
Formation energy (no corrections) in eV per atom: -0.502
V in Å³/atom: 27.15

## KBe2Br (PBE)

Data for a relaxed KBe2Br crystal.

abc: 5.4525 5.4525 5.4525
angles: 60.00 60.00 60.00
Last column: nearest neighbours and their distance in Å.
Sites, in units of the cell vectors:
1 Be 0.7500 0.7500 0.7500  4 Br 3.34, 4 K 3.34
2 Be 0.2500 0.2500 0.2500  4 Br 3.34, 4 K 3.34
3 K 0.0000 0.0000 0.0000  8 Be 3.34
4 Br 0.5000 0.5000 0.5000  8 Be 3.34

Summary:
DFT total energy in eV per atom: -1.5593
E above lowest polymorph in meV per atom: 809
Formation energy (no corrections) in eV per atom: 0.996
V in Å³/atom: 28.66

## KBeBr2 (PBE)

Data for a relaxed KBeBr2 crystal.

abc: 4.4761 6.6299 3.9465
angles: 90.00 90.00 90.00
Last column: nearest neighbours and their distance in Å.
Sites, in units of the cell vectors:
1 Br 0.5000 0.5000 0.0000  4 Be 2.98
2 K 0.5000 0.0000 0.5000  4 Br 2.98
3 Be 0.0000 0.5000 0.5000  4 Br 2.98
4 Br 0.0000 0.0000 0.0000  4 K 2.98

Summary:
DFT total energy in eV per atom: -2.3306
E above lowest polymorph in meV per atom: 394
Formation energy (no corrections) in eV per atom: -0.288
V in Å³/atom: 29.28

## KBe2Br (PBE)

Data for a relaxed KBe2Br crystal.

abc: 3.3839 3.3847 7.5112
angles: 90.00 90.00 90.00
Last column: nearest neighbours and their distance in Å.
Sites, in units of the cell vectors:
1 Be 0.5000 0.5000 0.1391  4 Be 2.40
2 Br 0.0000 0.0000 0.4642  1 Be 2.31
3 K 0.5000 0.5000 0.7396  1 Be 3.00, 4 Br 3.16
4 Be 0.0000 0.0000 0.1571  1 Br 2.31, 4 Be 2.40

Summary:
DFT total energy in eV per atom: -2.3536
E above lowest polymorph in meV per atom: 15
Formation energy (no corrections) in eV per atom: 0.202
V in Å³/atom: 21.51

## KBeBr2 (PBE)

Data for a relaxed KBeBr2 crystal.

abc: 8.1468 8.1468 8.1468
angles: 150.31 150.31 42.48
Last column: nearest neighbours and their distance in Å.
Sites, in units of the cell vectors:
1 Br 0.2500 0.7500 0.5000  4 Be 2.95
2 Be 0.7500 0.2500 0.5000  4 Br 2.95
3 K 0.5000 0.5000 0.0000  4 Br 2.95
4 Br 0.0000 0.0000 0.0000  4 K 2.95

Summary:
DFT total energy in eV per atom: -2.3246
E above lowest polymorph in meV per atom: 400
Formation energy (no corrections) in eV per atom: -0.282
V in Å³/atom: 33.08

## KBe2Br (PBE)

Data for a relaxed KBe2Br crystal.

abc: 5.8595 4.3249 4.6663
angles: 89.96 90.00 90.00
Last column: nearest neighbours and their distance in Å.
Sites, in units of the cell vectors:
1 Br 0.5000 0.2500 0.2500  4 Be 3.12, 4 K 3.18
2 K 0.5000 0.7500 0.7500  4 Br 3.18
3 Be 0.0000 0.4961 0.2499  2 Be 2.13-2.20
4 Be 0.0000 0.0039 0.2501  2 Be 2.13-2.20

Summary:
DFT total energy in eV per atom: -2.2582
E above lowest polymorph in meV per atom: 110
Formation energy (no corrections) in eV per atom: 0.297
V in Å³/atom: 29.56

## KMgBe2Br8 (PBE)

Data for a relaxed KMgBe2Br8 crystal.

abc: 6.5115 6.5115 10.1566
angles: 71.30 71.30 60.00
Last column: nearest neighbours and their distance in Å.
Sites, in units of the cell vectors:
1 Br 0.8221 0.8221 0.5336  1 Be 2.18
2 Br 0.2765 0.9548 0.1677  1 Be 2.20
3 Br 0.6010 0.2765 0.1677  1 Be 2.20
4 K 0.5000 0.5000 0.5000  12 Br 3.77-3.84
5 Br 0.7235 0.0452 0.8323  1 Be 2.20
6 Br 0.3990 0.7235 0.8323  1 Be 2.20
7 Br 0.0452 0.3990 0.8323  1 Be 2.20
8 Br 0.1779 0.1779 0.4664  1 Be 2.18
9 Mg 0.0000 0.0000 0.0000  6 Br 2.71
10 Br 0.9548 0.6010 0.1677  1 Be 2.20
11 Be 0.7450 0.7450 0.7649  4 Br 2.18-2.20
12 Be 0.2550 0.2550 0.2351  4 Br 2.18-2.20

Summary:
DFT total energy in eV per atom: -3.0298
Formation energy (no corrections) in eV per atom: -1.069
V in Å³/atom: 28.87

## KMnBe2Br8 (PBE)

Data for a relaxed KMnBe2Br8 crystal.

abc: 6.3635 6.3635 10.7108
angles: 72.72 72.72 60.00
Last column: nearest neighbours and their distance in Å.
Sites, in units of the cell vectors:
1 Br 0.9545 0.6195 0.1527  1 Be 2.22
2 Mn 0.0000 0.0000 0.0000  6 Br 2.59
3 Br 0.3805 0.7267 0.8473  1 Be 2.22
4 Br 0.7267 0.0455 0.8473  1 Be 2.22
5 Br 0.0455 0.3805 0.8473  1 Be 2.22
6 Br 0.8107 0.8107 0.5680  1 Be 2.14
7 K 0.5000 0.5000 0.5000  12 Br 3.74-4.11
8 Br 0.6195 0.2733 0.1527  1 Be 2.22
9 Be 0.7398 0.7398 0.7805  4 Br 2.14-2.22
10 Br 0.2733 0.9545 0.1527  1 Be 2.22
11 Be 0.2602 0.2602 0.2195  4 Br 2.14-2.22
12 Br 0.1893 0.1893 0.4320  1 Be 2.14

Summary:
DFT total energy in eV per atom: -3.5358
Formation energy (no corrections) in eV per atom: -0.944
V in Å³/atom: 29.40

Repeat the sixth record exactly.
## KBe2Br (PBE)

Data for a relaxed KBe2Br crystal.

abc: 5.4525 5.4525 5.4525
angles: 60.00 60.00 60.00
Last column: nearest neighbours and their distance in Å.
Sites, in units of the cell vectors:
1 Be 0.7500 0.7500 0.7500  4 Br 3.34, 4 K 3.34
2 Be 0.2500 0.2500 0.2500  4 Br 3.34, 4 K 3.34
3 K 0.0000 0.0000 0.0000  8 Be 3.34
4 Br 0.5000 0.5000 0.5000  8 Be 3.34

Summary:
DFT total energy in eV per atom: -1.5593
E above lowest polymorph in meV per atom: 809
Formation energy (no corrections) in eV per atom: 0.996
V in Å³/atom: 28.66

Question: What is the V in the first record?
Answer: 31.03 Å³/atom